# 1
Crystalline Pr2InGa2 at its relaxed geometry, computed with PBE.

## Properties
Calculated formation energy (eV per formula unit): -3.02

Unit cell a=4.186 b=14.094 c=4.383 alpha=90.00 beta=90.00 gamma=90.00
Fractional positions:
Pr  0.000  0.131  0.000
Pr  0.000  0.869  0.000
Pr  0.500  0.369  0.000
Pr  0.500  0.631  0.000
In  0.000  0.500  0.500
In  0.500  0.000  0.500
Ga  0.000  0.299  0.500
Ga  0.000  0.701  0.500
Ga  0.500  0.201  0.500
Ga  0.500  0.799  0.500

# 2
Crystalline Pr5InGa2 at its relaxed geometry, computed with PBE.

## Properties
Calculated formation energy (eV per formula unit): -3.40

Unit cell a=9.429 b=9.429 c=9.429 alpha=129.64 beta=129.64 gamma=73.98
Fractional positions:
Pr  0.000  0.000  0.000
Pr  0.026  0.526  0.843
Pr  0.183  0.026  0.500
Pr  0.317  0.817  0.843
Pr  0.474  0.317  0.500
Pr  0.500  0.500  0.000
Pr  0.526  0.683  0.500
Pr  0.683  0.183  0.157
Pr  0.817  0.974  0.500
Pr  0.974  0.474  0.157
In  0.250  0.250  0.000
In  0.750  0.750  0.000
Ga  0.118  0.382  0.500
Ga  0.382  0.882  0.265
Ga  0.618  0.118  0.735
Ga  0.882  0.618  0.500

# 3
Crystalline Pr3InGa2 at its relaxed geometry, computed with PBE.

## Properties
Relative energy among the computed polymorphs (eV/atom): 0.011
Calculated formation energy (eV per formula unit): -3.07

Unit cell a=5.355 b=5.355 c=13.165 alpha=90.00 beta=90.00 gamma=120.00
Fractional positions:
Pr  0.000  0.000  0.240
Pr  0.000  0.000  0.760
Pr  0.333  0.667  0.417
Pr  0.333  0.667  0.925
Pr  0.667  0.333  0.075
Pr  0.667  0.333  0.583
In  0.333  0.667  0.670
In  0.667  0.333  0.330
Ga  0.000  0.000  0.000
Ga  0.000  0.000  0.500
Ga  0.333  0.667  0.170
Ga  0.667  0.333  0.830

# 4
Crystalline Pr3In3Ga at its relaxed geometry, computed with PBE.

## Properties
Calculated formation energy (eV per formula unit): -3.46

Unit cell a=6.354 b=6.354 c=15.662 alpha=106.75 beta=106.75 gamma=42.14
Fractional positions:
Pr  0.009  0.009  0.382
Pr  0.112  0.112  0.926
Pr  0.232  0.232  0.233
Pr  0.768  0.768  0.767
Pr  0.888  0.888  0.074
Pr  0.991  0.991  0.618
In  0.342  0.342  0.461
In  0.390  0.390  0.922
In  0.494  0.494  0.771
In  0.506  0.506  0.229
In  0.610  0.610  0.078
In  0.658  0.658  0.539
Ga  0.280  0.280  0.627
Ga  0.720  0.720  0.373

# 5
Crystalline PrInGa2 at its relaxed geometry, computed with PBE.

## Properties
Relative energy among the computed polymorphs (eV/atom): 0.095
Calculated formation energy (eV per formula unit): -1.57

Unit cell a=4.567 b=4.567 c=15.942 alpha=90.00 beta=90.00 gamma=120.00
Fractional positions:
Pr  0.000  0.000  0.000
Pr  0.333  0.667  0.667
Pr  0.667  0.333  0.333
In  0.000  0.000  0.500
In  0.333  0.667  0.167
In  0.667  0.333  0.833
Ga  0.000  0.000  0.230
Ga  0.000  0.000  0.770
Ga  0.333  0.667  0.437
Ga  0.333  0.667  0.897
Ga  0.667  0.333  0.103
Ga  0.667  0.333  0.563

# 6
Crystalline Pr12In3Ga at its relaxed geometry, computed with PBE.

## Properties
Calculated formation energy (eV per formula unit): -4.26

Unit cell a=4.995 b=4.995 c=19.979 alpha=90.00 beta=90.00 gamma=90.00
Fractional positions:
Pr  0.000  0.000  0.000
Pr  0.000  0.000  0.246
Pr  0.000  0.000  0.500
Pr  0.000  0.000  0.754
Pr  0.000  0.500  0.120
Pr  0.000  0.500  0.374
Pr  0.000  0.500  0.626
Pr  0.000  0.500  0.880
Pr  0.500  0.000  0.120
Pr  0.500  0.000  0.374
Pr  0.500  0.000  0.626
Pr  0.500  0.000  0.880
In  0.500  0.500  0.247
In  0.500  0.500  0.500
In  0.500  0.500  0.753
Ga  0.500  0.500  0.000

# 7
Crystalline Pr6InGa at its relaxed geometry, computed with PBE.

## Properties
Calculated formation energy (eV per formula unit): -2.03

Unit cell a=4.965 b=4.965 c=9.915 alpha=90.00 beta=90.00 gamma=90.00
Fractional positions:
Pr  0.000  0.000  0.000
Pr  0.000  0.000  0.500
Pr  0.000  0.500  0.243
Pr  0.000  0.500  0.757
Pr  0.500  0.000  0.243
Pr  0.500  0.000  0.757
In  0.500  0.500  0.500
Ga  0.500  0.500  0.000

# 8
Crystalline Pr3InGa4 at its relaxed geometry, computed with PBE.

## Properties
Calculated formation energy (eV per formula unit): -3.08

Unit cell a=4.219 b=6.422 c=16.013 alpha=90.00 beta=90.00 gamma=90.00
Fractional positions:
Pr  0.000  0.000  0.000
Pr  0.000  0.500  0.197
Pr  0.000  0.500  0.803
Pr  0.500  0.000  0.303
Pr  0.500  0.000  0.697
Pr  0.500  0.500  0.500
In  0.000  0.000  0.500
In  0.500  0.500  0.000
Ga  0.000  0.303  0.373
Ga  0.000  0.303  0.627
Ga  0.000  0.697  0.373
Ga  0.000  0.697  0.627
Ga  0.500  0.197  0.127
Ga  0.500  0.197  0.873
Ga  0.500  0.803  0.127
Ga  0.500  0.803  0.873

# 9
Crystalline Pr8In3Ga2 at its relaxed geometry, computed with PBE.

## Properties
Calculated formation energy (eV per formula unit): -3.54

Unit cell a=9.243 b=9.243 c=5.614 alpha=90.00 beta=90.00 gamma=121.18
Fractional positions:
Pr  0.108  0.892  0.000
Pr  0.164  0.412  0.500
Pr  0.308  0.692  0.000
Pr  0.412  0.164  0.500
Pr  0.588  0.836  0.500
Pr  0.692  0.308  0.000
Pr  0.836  0.588  0.500
Pr  0.892  0.108  0.000
In  0.000  0.000  0.500
In  0.329  0.329  0.000
In  0.671  0.671  0.000
Ga  0.222  0.778  0.500
Ga  0.778  0.222  0.500

# 10
Crystalline Pr5In2Ga at its relaxed geometry, computed with PBE.

## Properties
Relative energy among the computed polymorphs (eV/atom): 0.082
Calculated formation energy (eV per formula unit): -2.58

Unit cell a=7.157 b=7.157 c=9.288 alpha=90.00 beta=90.00 gamma=90.00
Fractional positions:
Pr  0.000  0.000  0.000
Pr  0.250  0.250  0.250
Pr  0.250  0.250  0.750
Pr  0.250  0.750  0.250
Pr  0.250  0.750  0.750
Pr  0.500  0.500  0.500
Pr  0.750  0.250  0.250
Pr  0.750  0.250  0.750
Pr  0.750  0.750  0.250
Pr  0.750  0.750  0.750
In  0.000  0.500  0.000
In  0.000  0.500  0.500
In  0.500  0.000  0.000
In  0.500  0.000  0.500
Ga  0.000  0.000  0.500
Ga  0.500  0.500  0.000

# 11
Crystalline Pr8InGa2 at its relaxed geometry, computed with PBE.

## Properties
Calculated formation energy (eV per formula unit): -3.05

Unit cell a=9.244 b=9.244 c=8.153 alpha=109.93 beta=109.93 gamma=31.45
Fractional positions:
Pr  0.049  0.049  0.242
Pr  0.172  0.172  0.760
Pr  0.324  0.324  0.553
Pr  0.401  0.401  0.046
Pr  0.599  0.599  0.954
Pr  0.676  0.676  0.447
Pr  0.828  0.828  0.240
Pr  0.951  0.951  0.758
In  0.500  0.500  0.500
Ga  0.211  0.211  0.169
Ga  0.789  0.789  0.831

# 12
Crystalline Pr2InGa2 at its relaxed geometry, computed with PBE.

## Properties
Calculated formation energy (eV per formula unit): -3.03

Unit cell a=7.467 b=7.467 c=4.613 alpha=90.00 beta=90.00 gamma=90.00
Fractional positions:
Pr  0.174  0.326  0.000
Pr  0.326  0.826  0.000
Pr  0.674  0.174  0.000
Pr  0.826  0.674  0.000
In  0.000  0.000  0.500
In  0.500  0.500  0.500
Ga  0.124  0.624  0.500
Ga  0.376  0.124  0.500
Ga  0.624  0.876  0.500
Ga  0.876  0.376  0.500

Copy entry 12 word for word.
Crystalline Pr2InGa2 at its relaxed geometry, computed with PBE.

## Properties
Calculated formation energy (eV per formula unit): -3.03

Unit cell a=7.467 b=7.467 c=4.613 alpha=90.00 beta=90.00 gamma=90.00
Fractional positions:
Pr  0.174  0.326  0.000
Pr  0.326  0.826  0.000
Pr  0.674  0.174  0.000
Pr  0.826  0.674  0.000
In  0.000  0.000  0.500
In  0.500  0.500  0.500
Ga  0.124  0.624  0.500
Ga  0.376  0.124  0.500
Ga  0.624  0.876  0.500
Ga  0.876  0.376  0.500